[1]
Nd4SmDySe8, relaxed, DFT PBE-GGA; total magnetic moment = 0.001 Bohr magnetons per cell; calculated total energy = -80.424 eV per cell; formation energy without anion corrections = -1725 meV per atom
1.0
-5.456 6.670 -0.734
-5.980 0.028 -6.248
-8.344 -0.999 1.996
Dy Se Nd Sm
1 8 4 1
Cartesian
-11.585 1.641 -0.876
-7.616 4.824 -1.450
-9.040 0.884 -0.206
-14.729 4.349 -3.840
-11.874 4.348 -0.587
-4.994 1.389 -1.199
-12.146 0.898 -3.452
-10.823 4.839 -4.801
-7.897 1.262 -4.407
-6.897 2.807 0.628
-8.196 4.057 -4.108
-4.199 -0.491 0.990
-7.155 -0.477 -2.099
-8.325 -0.986 1.978

[2]
Nd2SmDy3Se6, relaxed, DFT PBE-GGA; total magnetic moment = 0.000 Bohr magnetons per cell; calculated total energy = -70.492 eV per cell; formation energy without anion corrections = -1794 meV per atom
1.0
-2.309 2.280 -2.521
1.072 -5.642 -6.084
-6.309 -3.888 5.610
Se Sm Nd Dy
6 1 2 3
Cartesian
0.748 -4.225 -4.506
-4.589 -4.157 0.443
-8.295 -3.026 1.510
-2.957 -3.094 -3.439
-3.586 -0.204 -0.249
-3.960 -7.047 -2.746
-1.154 1.140 -1.261
-5.409 -4.447 -2.417
-2.137 -2.804 -0.579
-5.936 -1.627 0.616
-1.610 -5.623 -3.612
-0.619 -1.681 -4.303

[3]
NdSmDy2Se6, relaxed, DFT PBE-GGA; total magnetic moment = 0.000 Bohr magnetons per cell; calculated total energy = -58.069 eV per cell; formation energy without anion corrections = -1847 meV per atom
1.0
-2.813 -6.705 0.885
4.416 -5.665 1.441
-0.118 -3.005 7.171
Dy Se Sm Nd
2 6 1 1
Cartesian
0.770 -7.736 4.473
-0.092 -3.049 6.920
-0.772 -6.190 2.648
1.317 -5.356 6.044
-1.574 -7.839 6.183
0.164 -10.328 3.467
2.000 -9.039 6.758
3.329 -7.393 3.276
0.498 -4.062 1.124
1.237 -11.743 5.912

[4]
Nd3Sm2DySe6, relaxed, DFT PBE-GGA; total magnetic moment = 0.000 Bohr magnetons per cell; calculated total energy = -71.089 eV per cell; formation energy without anion corrections = -1820 meV per atom
1.0
7.243 -0.016 -0.002
-3.633 6.265 -0.002
-1.206 -2.089 6.866
Nd Se Dy Sm
3 6 1 2
Cartesian
-2.382 4.150 3.430
4.786 0.011 3.430
1.202 2.080 3.430
0.033 4.168 5.208
2.427 4.202 1.670
-0.024 -0.041 5.191
-1.190 2.049 1.652
3.593 2.112 5.208
2.370 -0.007 1.652
0.000 0.000 0.000
3.622 2.076 -0.002
-0.012 4.174 -0.002

Number 2 is which compound? Nd2SmDy3Se6